A plane-wave DFT calculation with PBE with a Hubbard U was carried out for crystalline BaNi3F9 at its relaxed geometry.

```
BaNi3F9
1.0
7.311 0.000 0.000
-3.655 6.331 0.000
0.000 0.000 3.869
Ba Ni F
1 3 9
direct
0.000 0.000 0.000
0.000 0.500 0.500
0.500 0.000 0.500
0.500 0.500 0.500
0.000 0.500 0.000
0.191 0.383 0.500
0.191 0.809 0.500
0.383 0.191 0.500
0.500 0.000 0.000
0.500 0.500 0.000
0.617 0.809 0.500
0.809 0.191 0.500
0.809 0.617 0.500
```

Properties
Symmetry: P6/mmm, No. 191
Electronic total energy in eV per atom: -4.38